Record 1
CsZrZnTe3 PBE-GGA optimized geometry; polymorph energy (0 for the lowest one) = 0 meV per atom; final energy = -4.163 eV/atom
1.0
10.217 0.000 0.000
0.000 4.212 0.000
-4.492 0.000 9.837
Cs Zr Zn Te
2 2 2 6
direct
0.202 0.250 0.247
0.798 0.750 0.753
0.356 0.750 0.878
0.644 0.250 0.122
0.078 0.250 0.604
0.922 0.750 0.396
0.141 0.250 0.866
0.218 0.750 0.558
0.470 0.750 0.169
0.530 0.250 0.831
0.782 0.250 0.442
0.859 0.750 0.134

Record 2
CsZrZnTe3 PBE-GGA optimized geometry; polymorph energy (0 for the lowest one) = 38 meV per atom; final energy = -4.125 eV/atom
1.0
2.128 -8.575 0.000
2.128 8.575 0.000
0.000 0.000 11.339
Cs Zr Zn Te
2 2 2 6
direct
0.249 0.751 0.750
0.751 0.249 0.250
0.500 0.500 0.000
0.500 0.500 0.500
0.039 0.961 0.250
0.961 0.039 0.750
0.118 0.882 0.049
0.118 0.882 0.451
0.441 0.559 0.250
0.559 0.441 0.750
0.882 0.118 0.549
0.882 0.118 0.951

Record 3
CsZr5Te8 PBE-GGA optimized geometry; final energy = -5.868 eV/atom
1.0
10.648 -2.006 0.000
10.648 2.006 0.000
-2.567 0.000 9.966
Cs Zr Te
1 5 8
direct
0.000 0.000 0.000
0.154 0.154 0.508
0.209 0.209 0.849
0.500 0.500 0.500
0.791 0.791 0.151
0.846 0.846 0.492
0.071 0.071 0.688
0.254 0.254 0.334
0.342 0.342 0.997
0.412 0.412 0.681
0.588 0.588 0.319
0.658 0.658 0.003
0.746 0.746 0.666
0.929 0.929 0.312

Record 4
Cs2ZrTe3 PBE-GGA optimized geometry; final energy = -4.344 eV/atom
1.0
7.094 -5.114 0.000
7.094 5.114 0.000
-0.304 0.000 7.713
Cs Zr Te
4 2 6
direct
0.013 0.679 0.771
0.321 0.987 0.729
0.679 0.013 0.271
0.987 0.321 0.229
0.418 0.582 0.250
0.582 0.418 0.750
0.153 0.847 0.250
0.350 0.371 0.499
0.371 0.350 0.999
0.629 0.650 0.001
0.650 0.629 0.501
0.847 0.153 0.750

Record 5
CsTh PBE-GGA optimized geometry; polymorph energy (0 for the lowest one) = 1114 meV per atom; final energy = -2.172 eV/atom
1.0
6.939 0.000 0.000
0.000 6.939 0.000
0.000 0.000 6.939
Cs Th
4 4
direct
0.000 0.000 0.000
0.000 0.500 0.500
0.500 0.000 0.500
0.500 0.500 0.000
0.000 0.000 0.500
0.000 0.500 0.000
0.500 0.000 0.000
0.500 0.500 0.500

Record 6
CsTh PBE-GGA optimized geometry; polymorph energy (0 for the lowest one) = 1601 meV per atom; final energy = -1.686 eV/atom
1.0
7.102 0.000 0.000
0.000 7.102 0.000
0.000 0.000 7.102
Cs Th
4 4
direct
0.000 0.000 0.000
0.000 0.500 0.500
0.500 0.000 0.500
0.500 0.500 0.000
0.250 0.250 0.750
0.250 0.750 0.250
0.750 0.250 0.250
0.750 0.750 0.750

Record 7
CsTh PBE-GGA optimized geometry; polymorph energy (0 for the lowest one) = 0 meV per atom; final energy = -3.287 eV/atom
1.0
3.647 0.000 0.000
-1.824 3.159 0.000
0.000 0.000 7.555
Cs Th
1 1
direct
0.000 0.000 0.000
0.667 0.333 0.500

Record 8
Cs3ThTl2 PBE-GGA optimized geometry; final energy = -1.749 eV/atom
1.0
6.812 0.000 0.000
-3.406 5.900 0.000
0.000 0.000 6.660
Cs Th Tl
3 1 2
direct
0.000 0.500 0.000
0.500 0.000 0.000
0.500 0.500 0.000
0.000 0.000 0.500
0.333 0.667 0.499
0.667 0.333 0.501

Record 9
CsTmTh PBE-GGA optimized geometry; polymorph energy (0 for the lowest one) = 30 meV per atom; final energy = -2.746 eV/atom
1.0
7.760 0.000 0.000
0.000 7.760 0.000
0.000 0.000 7.760
Cs Tm Th
4 4 4
direct
0.000 0.000 0.000
0.000 0.500 0.500
0.500 0.000 0.500
0.500 0.500 0.000
0.250 0.250 0.250
0.250 0.750 0.750
0.750 0.250 0.750
0.750 0.750 0.250
0.250 0.250 0.750
0.250 0.750 0.250
0.750 0.250 0.250
0.750 0.750 0.750

Record 10
CsTmTh PBE-GGA optimized geometry; polymorph energy (0 for the lowest one) = 0 meV per atom; final energy = -2.776 eV/atom
1.0
8.285 0.000 0.000
0.000 8.285 0.000
0.000 0.000 8.285
Cs Tm Th
4 4 4
direct
0.000 0.000 0.000
0.000 0.500 0.500
0.500 0.000 0.500
0.500 0.500 0.000
0.250 0.250 0.250
0.250 0.750 0.750
0.750 0.250 0.750
0.750 0.750 0.250
0.000 0.000 0.500
0.000 0.500 0.000
0.500 0.000 0.000
0.500 0.500 0.500

Record 11
CsThU PBE-GGA optimized geometry; polymorph energy (0 for the lowest one) = 0 meV per atom; final energy = -4.464 eV/atom
1.0
7.831 0.000 0.000
0.000 7.831 0.000
0.000 0.000 7.831
Cs Th U
4 4 4
direct
0.000 0.000 0.000
0.000 0.500 0.500
0.500 0.000 0.500
0.500 0.500 0.000
0.000 0.000 0.500
0.000 0.500 0.000
0.500 0.000 0.000
0.500 0.500 0.500
0.250 0.250 0.250
0.250 0.750 0.750
0.750 0.250 0.750
0.750 0.750 0.250

Record 12
CsThU PBE-GGA optimized geometry; polymorph energy (0 for the lowest one) = 57 meV per atom; final energy = -4.407 eV/atom
1.0
7.502 0.000 0.000
0.000 7.502 0.000
0.000 0.000 7.502
Cs Th U
4 4 4
direct
0.000 0.000 0.000
0.000 0.500 0.500
0.500 0.000 0.500
0.500 0.500 0.000
0.250 0.250 0.250
0.250 0.750 0.750
0.750 0.250 0.750
0.750 0.750 0.250
0.250 0.250 0.750
0.250 0.750 0.250
0.750 0.250 0.250
0.750 0.750 0.750

Record 13
CsTmTl PBE-GGA optimized geometry; polymorph energy (0 for the lowest one) = 0 meV per atom; final energy = -2.016 eV/atom
1.0
8.136 0.000 0.000
0.000 8.136 0.000
0.000 0.000 8.136
Cs Tm Tl
4 4 4
direct
0.000 0.000 0.000
0.000 0.500 0.500
0.500 0.000 0.500
0.500 0.500 0.000
0.000 0.000 0.500
0.000 0.500 0.000
0.500 0.000 0.000
0.500 0.500 0.500
0.250 0.250 0.250
0.250 0.750 0.750
0.750 0.250 0.750
0.750 0.750 0.250

Record 14
CsUTl PBE-GGA optimized geometry; final energy = -3.225 eV/atom
1.0
7.714 0.000 0.000
0.000 7.714 0.000
0.000 0.000 7.714
Cs U Tl
4 4 4
direct
0.000 0.000 0.000
0.000 0.500 0.500
0.500 0.000 0.500
0.500 0.500 0.000
0.250 0.250 0.250
0.250 0.750 0.750
0.750 0.250 0.750
0.750 0.750 0.250
0.250 0.250 0.750
0.250 0.750 0.250
0.750 0.250 0.250
0.750 0.750 0.750

Record 15
CsTlZn PBE-GGA optimized geometry; polymorph energy (0 for the lowest one) = 0 meV per atom; final energy = -1.143 eV/atom
1.0
8.206 0.000 0.000
0.000 8.206 0.000
0.000 0.000 8.206
Cs Tl Zn
4 4 4
direct
0.000 0.000 0.000
0.000 0.500 0.500
0.500 0.000 0.500
0.500 0.500 0.000
0.250 0.250 0.250
0.250 0.750 0.750
0.750 0.250 0.750
0.750 0.750 0.250
0.000 0.000 0.500
0.000 0.500 0.000
0.500 0.000 0.000
0.500 0.500 0.500

Record 16
CsTlZn PBE-GGA optimized geometry; polymorph energy (0 for the lowest one) = 157 meV per atom; final energy = -0.986 eV/atom
1.0
8.459 0.000 0.000
0.000 8.459 0.000
0.000 0.000 8.459
Cs Tl Zn
4 4 4
direct
0.000 0.000 0.000
0.000 0.500 0.500
0.500 0.000 0.500
0.500 0.500 0.000
0.250 0.250 0.750
0.250 0.750 0.250
0.750 0.250 0.250
0.750 0.750 0.750
0.250 0.250 0.250
0.250 0.750 0.750
0.750 0.250 0.750
0.750 0.750 0.250

Record 17
CsZrTl PBE-GGA optimized geometry; polymorph energy (0 for the lowest one) = 534 meV per atom; final energy = -2.364 eV/atom
1.0
7.629 0.000 0.000
0.000 7.629 0.000
0.000 0.000 7.629
Cs Zr Tl
4 4 4
direct
0.000 0.000 0.000
0.000 0.500 0.500
0.500 0.000 0.500
0.500 0.500 0.000
0.250 0.250 0.250
0.250 0.750 0.750
0.750 0.250 0.750
0.750 0.750 0.250
0.250 0.250 0.750
0.250 0.750 0.250
0.750 0.250 0.250
0.750 0.750 0.750

Record 18
CsZrTl PBE-GGA optimized geometry; polymorph energy (0 for the lowest one) = 0 meV per atom; final energy = -2.898 eV/atom
1.0
7.492 0.000 0.000
0.000 7.492 0.000
0.000 0.000 7.492
Cs Zr Tl
4 4 4
direct
0.000 0.000 0.000
0.000 0.500 0.500
0.500 0.000 0.500
0.500 0.500 0.000
0.250 0.250 0.250
0.250 0.750 0.750
0.750 0.250 0.750
0.750 0.750 0.250
0.000 0.000 0.500
0.000 0.500 0.000
0.500 0.000 0.000
0.500 0.500 0.500

Record 19
Cs2Tm PBE-GGA optimized geometry; final energy = -1.148 eV/atom
1.0
0.000 5.697 5.697
5.697 0.000 5.697
5.697 5.697 0.000
Cs Tm
4 2
direct
0.000 0.000 0.000
0.000 0.000 0.500
0.000 0.500 0.000
0.500 0.000 0.000
0.375 0.375 0.375
0.625 0.625 0.625

Record 20
CsTmW PBE-GGA optimized geometry; final energy = -3.841 eV/atom
1.0
7.511 0.000 0.000
0.000 7.511 0.000
0.000 0.000 7.511
Cs Tm W
4 4 4
direct
0.000 0.000 0.000
0.000 0.500 0.500
0.500 0.000 0.500
0.500 0.500 0.000
0.250 0.250 0.250
0.250 0.750 0.750
0.750 0.250 0.750
0.750 0.750 0.250
0.000 0.000 0.500
0.000 0.500 0.000
0.500 0.000 0.000
0.500 0.500 0.500